(1)
# KCa2W

An optimized crystal structure of KCa2W (PBE-GGA, the Alexandria database).

Structure (CIF):
```
data_KCa2W
_cell_length_a 5.686
_cell_length_b 5.686
_cell_length_c 5.686
_cell_angle_alpha 60.00
_cell_angle_beta 60.00
_cell_angle_gamma 60.00
_symmetry_space_group_name_H-M 'P 1'
_symmetry_Int_Tables_number 1
loop_
_symmetry_equiv_pos_as_xyz
'x,y,z'
loop_
_atom_site_label
_atom_site_fract_x
_atom_site_fract_y
_atom_site_fract_z
K1 0.000 0.000 0.000
Ca1 0.250 0.250 0.250
Ca2 0.500 0.500 0.500
W1 0.750 0.750 0.750
```

Calculated values
Excess energy over the best structure of this formula in the dataset, eV per atom: 0.483

---

(2)
# K2CaW4

An optimized crystal structure of K2CaW4 (PBE-GGA, the Alexandria database).

Structure (CIF):
```
data_K2CaW4
_cell_length_a 9.563
_cell_length_b 9.563
_cell_length_c 9.563
_cell_angle_alpha 149.55
_cell_angle_beta 149.55
_cell_angle_gamma 43.61
_symmetry_space_group_name_H-M 'P 1'
_symmetry_Int_Tables_number 1
loop_
_symmetry_equiv_pos_as_xyz
'x,y,z'
loop_
_atom_site_label
_atom_site_fract_x
_atom_site_fract_y
_atom_site_fract_z
K1 0.152 0.152 0.000
K2 0.848 0.848 0.000
Ca1 0.500 0.500 0.000
W1 0.000 0.500 0.500
W2 0.357 0.357 0.000
W3 0.500 0.000 0.500
W4 0.643 0.643 0.000
```

---

(3)
# KCaW2

An optimized crystal structure of KCaW2 (PBE-GGA, the Alexandria database).

Structure (CIF):
```
data_KCaW2
_cell_length_a 4.121
_cell_length_b 4.121
_cell_length_c 7.461
_cell_angle_alpha 90.00
_cell_angle_beta 90.00
_cell_angle_gamma 90.00
_symmetry_space_group_name_H-M 'P 1'
_symmetry_Int_Tables_number 1
loop_
_symmetry_equiv_pos_as_xyz
'x,y,z'
loop_
_atom_site_label
_atom_site_fract_x
_atom_site_fract_y
_atom_site_fract_z
K1 0.000 0.000 0.000
Ca1 0.000 0.000 0.500
W1 0.500 0.500 0.352
W2 0.500 0.500 0.648
```

Calculated values
Excess energy over the best structure of this formula in the dataset, eV per atom: 0.715

---

(4)
# KCaW2

An optimized crystal structure of KCaW2 (PBE-GGA, the Alexandria database).

Structure (CIF):
```
data_KCaW2
_cell_length_a 2.781
_cell_length_b 2.781
_cell_length_c 11.573
_cell_angle_alpha 90.00
_cell_angle_beta 90.00
_cell_angle_gamma 105.54
_symmetry_space_group_name_H-M 'P 1'
_symmetry_Int_Tables_number 1
loop_
_symmetry_equiv_pos_as_xyz
'x,y,z'
loop_
_atom_site_label
_atom_site_fract_x
_atom_site_fract_y
_atom_site_fract_z
K1 0.000 0.000 0.000
Ca1 0.000 0.000 0.500
W1 0.500 0.500 0.270
W2 0.500 0.500 0.730
```

Calculated values
Excess energy over the best structure of this formula in the dataset, eV per atom: 0.337

---

(5)
# KCaW2

An optimized crystal structure of KCaW2 (PBE-GGA, the Alexandria database).

Structure (CIF):
```
data_KCaW2
_cell_length_a 11.874
_cell_length_b 11.874
_cell_length_c 11.874
_cell_angle_alpha 161.07
_cell_angle_beta 161.07
_cell_angle_gamma 26.90
_symmetry_space_group_name_H-M 'P 1'
_symmetry_Int_Tables_number 1
loop_
_symmetry_equiv_pos_as_xyz
'x,y,z'
loop_
_atom_site_label
_atom_site_fract_x
_atom_site_fract_y
_atom_site_fract_z
K1 0.000 0.000 0.000
K2 0.750 0.250 0.500
Ca1 0.250 0.750 0.500
Ca2 0.500 0.500 0.000
W1 0.139 0.625 0.014
W2 0.375 0.389 0.514
W3 0.611 0.125 0.986
W4 0.875 0.861 0.486
```

Calculated values
Excess energy over the best structure of this formula in the dataset, eV per atom: 0.713

---

(6)
# KCaW2

An optimized crystal structure of KCaW2 (PBE-GGA, the Alexandria database).

Structure (CIF):
```
data_KCaW2
_cell_length_a 6.331
_cell_length_b 6.331
_cell_length_c 2.784
_cell_angle_alpha 96.32
_cell_angle_beta 96.32
_cell_angle_gamma 128.39
_symmetry_space_group_name_H-M 'P 1'
_symmetry_Int_Tables_number 1
loop_
_symmetry_equiv_pos_as_xyz
'x,y,z'
loop_
_atom_site_label
_atom_site_fract_x
_atom_site_fract_y
_atom_site_fract_z
K1 0.000 0.000 0.000
Ca1 0.500 0.500 0.000
W1 0.000 0.500 0.500
W2 0.500 0.000 0.500
```

Calculated values
Excess energy over the best structure of this formula in the dataset, eV per atom: 0.469

---

no.,formation energy from the elements (eV/atom)
1,1.305
2,3.362
3,1.638
4,1.259
5,1.635
6,1.392